Here is KHg2Os after structural relaxation from the Alexandria database. Energies are from PBE.

a = 3.047 Å, b = 3.047 Å, c = 9.628 Å
α = 90.00°, β = 90.00°, γ = 90.00°
Space group P4/mmm (No. 123)
Inequivalent atoms, fractional coordinates:
K  0.000  0.000  0.000 (multiplicity 1)
Hg  0.500  0.500  0.290 (multiplicity 2)
Os  0.000  0.000  0.500 (multiplicity 1)

Size of the total moment (μB per formula unit): 1.6
Energy of formation from the pure elements (eV per atom): 0.7369
Total DFT energy (no corrections) (eV for the cell shown): -10.0
Offset from the most stable computed form (meV per atom): 156



Here is Ca5NdMg6 after structural relaxation from the Alexandria database. Energies are from PBE.

a = 17.744 Å, b = 7.793 Å, c = 5.625 Å
α = 90.00°, β = 108.01°, γ = 90.00°
Space group C2/m (No. 12)
Inequivalent atoms, fractional coordinates:
Ca  0.000  0.000  0.000 (multiplicity 2)
Ca  0.166  0.000  0.666 (multiplicity 4)
Ca  0.167  0.500  0.667 (multiplicity 4)
Nd  0.000  0.500  0.000 (multiplicity 2)
Mg  0.000  0.256  0.500 (multiplicity 4)
Mg  0.165  0.254  0.165 (multiplicity 8)

Size of the total moment (μB per formula unit): 0.0
Energy of formation from the pure elements (eV per atom): -0.0861
Total DFT energy (no corrections) (eV for the cell shown): -50.8



Here is ScReIr2 after structural relaxation from the Alexandria database. Energies are from PBE.

a = 5.689 Å, b = 5.709 Å, c = 7.673 Å
α = 90.00°, β = 90.00°, γ = 90.00°
Space group Fmmm (No. 69)
Inequivalent atoms, fractional coordinates:
Sc  0.000  0.000  0.000 (multiplicity 4)
Re  0.000  0.000  0.500 (multiplicity 4)
Ir  0.250  0.250  0.250 (multiplicity 8)

Size of the total moment (μB per formula unit): 0.0
Energy of formation from the pure elements (eV per atom): -0.3084
Total DFT energy (no corrections) (eV for the cell shown): -150.9
Offset from the most stable computed form (meV per atom): 147



Here is TbTm2C after structural relaxation from the Alexandria database. Energies are from PBE.

a = 3.5378 Å, b = 3.5378 Å, c = 26.8271 Å
α = 90.00°, β = 90.00°, γ = 120.00°
Space group R3m (No. 160, hexagonal axes)
Inequivalent atoms, fractional coordinates:
Tb  0.0000  0.0000  0.0000 (multiplicity 3)
Tm  0.0000  0.0000  0.5478 (multiplicity 3)
Tm  0.0000  0.0000  0.7824 (multiplicity 3)
C  0.0000  0.0000  0.1646 (multiplicity 3)

Size of the total moment (μB per formula unit): 0.4
Energy of formation from the pure elements (eV per atom): -0.2176
Total DFT energy (no corrections) (eV for the cell shown): -71.0
Offset from the most stable computed form (meV per atom): 0



Here is Sm12Tm7Sc after structural relaxation from the Alexandria database. Energies are from PBE.

a = 15.0133 Å, b = 15.0133 Å, c = 10.0051 Å
α = 90.00°, β = 90.00°, γ = 120.00°
Space group R-3 (No. 148, hexagonal axes)
Inequivalent atoms, fractional coordinates:
Sm  0.0433  0.2513  0.0749 (multiplicity 18)
Sm  0.0442  0.1959  0.7523 (multiplicity 18)
Tm  0.0000  0.0000  0.0000 (multiplicity 3)
Tm  0.0677  0.2413  0.4268 (multiplicity 18)
Sc  0.0000  0.0000  0.5000 (multiplicity 3)

Size of the total moment (μB per formula unit): 0.0
Energy of formation from the pure elements (eV per atom): 0.1649
Total DFT energy (no corrections) (eV for the cell shown): -272.9
Offset from the most stable computed form (meV per atom): 0



Here is Mg8Tl2Cu after structural relaxation from the Alexandria database. Energies are from PBE.

a = 4.997 Å, b = 6.617 Å, c = 14.816 Å
α = 90.00°, β = 90.00°, γ = 90.00°
Space group Immm (No. 71)
Inequivalent atoms, fractional coordinates:
Mg  0.000  0.000  0.184 (multiplicity 4)
Mg  0.000  0.235  0.000 (multiplicity 4)
Mg  0.000  0.241  0.369 (multiplicity 8)
Tl  0.000  0.500  0.182 (multiplicity 4)
Cu  0.000  0.500  0.500 (multiplicity 2)

Size of the total moment (μB per formula unit): 0.0
Energy of formation from the pure elements (eV per atom): -0.0169
Total DFT energy (no corrections) (eV for the cell shown): -43.5
Offset from the most stable computed form (meV per atom): 0



Here is SrSc2InO after structural relaxation from the Alexandria database. Energies are from PBE.

a = 4.586 Å, b = 4.586 Å, c = 4.997 Å
α = 90.00°, β = 90.00°, γ = 90.00°
Space group P4/mmm (No. 123)
Inequivalent atoms, fractional coordinates:
Sr  0.000  0.000  0.000 (multiplicity 1)
Sc  0.000  0.500  0.500 (multiplicity 2)
In  0.500  0.500  0.000 (multiplicity 1)
O  0.000  0.000  0.500 (multiplicity 1)

Size of the total moment (μB per formula unit): 0.0
Raw formation energy (meV per atom): -1250
Total DFT energy (no corrections) (eV for the cell shown): -28.3



Here is TbSm2YEr2 after structural relaxation from the Alexandria database. Energies are from PBE.

a = 7.040 Å, b = 9.720 Å, c = 5.626 Å
α = 90.00°, β = 90.00°, γ = 90.00°
Space group Pnnm (No. 58)
Inequivalent atoms, fractional coordinates:
Tb  0.000  0.000  0.000 (multiplicity 2)
Sm  0.249  0.333  0.000 (multiplicity 4)
Y  0.000  0.500  0.500 (multiplicity 2)
Er  0.250  0.167  0.500 (multiplicity 4)

Size of the total moment (μB per formula unit): 0.0
Energy of formation from the pure elements (eV per atom): 0.0651
Total DFT energy (no corrections) (eV for the cell shown): -58.5



Here is Ac3Co3Pb after structural relaxation from the Alexandria database. Energies are from PBE.

a = 10.6135 Å, b = 10.6135 Å, c = 3.9540 Å
α = 90.00°, β = 90.00°, γ = 120.00°
Space group P6_3/m (No. 176)
Inequivalent atoms, fractional coordinates:
Ac  0.0489  0.6846  0.2500 (multiplicity 6)
Co  0.0169  0.8757  0.7500 (multiplicity 6)
Pb  0.3333  0.6667  0.7500 (multiplicity 2)

Size of the total moment (μB per formula unit): 2.3
Energy of formation from the pure elements (eV per atom): -0.1410
Total DFT energy (no corrections) (eV for the cell shown): -76.7



Here is SrLiGd2 after structural relaxation from the Alexandria database. Energies are from PBE.

a = 3.796 Å, b = 3.796 Å, c = 9.346 Å
α = 90.00°, β = 90.00°, γ = 90.00°
Space group P4/mmm (No. 123)
Inequivalent atoms, fractional coordinates:
Sr  0.000  0.000  0.000 (multiplicity 1)
Li  0.000  0.000  0.500 (multiplicity 1)
Gd  0.500  0.500  0.313 (multiplicity 2)

Size of the total moment (μB per formula unit): 15.5
Energy of formation from the pure elements (eV per atom): 0.1711
Total DFT energy (no corrections) (eV for the cell shown): -31.1
Offset from the most stable computed form (meV per atom): 0



Here is YTi2GaH after structural relaxation from the Alexandria database. Energies are from PBE.

a = 4.228 Å, b = 4.228 Å, c = 4.437 Å
α = 90.00°, β = 90.00°, γ = 90.00°
Space group P4/mmm (No. 123)
Inequivalent atoms, fractional coordinates:
Y  0.000  0.000  0.000 (multiplicity 1)
Ti  0.000  0.500  0.500 (multiplicity 2)
Ga  0.500  0.500  0.000 (multiplicity 1)
H  0.000  0.000  0.500 (multiplicity 1)

Size of the total moment (μB per formula unit): 0.0
Total DFT energy (no corrections) (eV for the cell shown): -29.9



Here is SrAl3C after structural relaxation from the Alexandria database. Energies are from PBE.

a = 6.055 Å, b = 6.055 Å, c = 6.055 Å
α = 90.00°, β = 90.00°, γ = 90.00°
Space group Pm-3m (No. 221)
Inequivalent atoms, fractional coordinates:
Sr  0.000  0.000  0.000 (multiplicity 1)
Al  0.000  0.000  0.500 (multiplicity 3)
C  0.500  0.500  0.500 (multiplicity 1)

Size of the total moment (μB per formula unit): 0.9
Energy of formation from the pure elements (eV per atom): 2.6181
Total DFT energy (no corrections) (eV for the cell shown): -9.0
Offset from the most stable computed form (meV per atom): 2060



What did the seventh record say?
Here is SrSc2InO after structural relaxation from the Alexandria database. Energies are from PBE.

a = 4.586 Å, b = 4.586 Å, c = 4.997 Å
α = 90.00°, β = 90.00°, γ = 90.00°
Space group P4/mmm (No. 123)
Inequivalent atoms, fractional coordinates:
Sr  0.000  0.000  0.000 (multiplicity 1)
Sc  0.000  0.500  0.500 (multiplicity 2)
In  0.500  0.500  0.000 (multiplicity 1)
O  0.000  0.000  0.500 (multiplicity 1)

Size of the total moment (μB per formula unit): 0.0
Raw formation energy (meV per atom): -1250
Total DFT energy (no corrections) (eV for the cell shown): -28.3



What did the third record say?
Here is ScReIr2 after structural relaxation from the Alexandria database. Energies are from PBE.

a = 5.689 Å, b = 5.709 Å, c = 7.673 Å
α = 90.00°, β = 90.00°, γ = 90.00°
Space group Fmmm (No. 69)
Inequivalent atoms, fractional coordinates:
Sc  0.000  0.000  0.000 (multiplicity 4)
Re  0.000  0.000  0.500 (multiplicity 4)
Ir  0.250  0.250  0.250 (multiplicity 8)

Size of the total moment (μB per formula unit): 0.0
Energy of formation from the pure elements (eV per atom): -0.3084
Total DFT energy (no corrections) (eV for the cell shown): -150.9
Offset from the most stable computed form (meV per atom): 147



What is the size of the total moment in the twelfth record?
0.9 μB per formula unit